NbCrPbO6 | GGA+U | optimized geometry

Computed properties:
DFT total energy, hartree per atom: -0.2738
Space-group type: P-31c (163)

The structure in POSCAR format:
```
NbCrPbO6
1.0
-3.125 3.263 -2.625
0.940 -4.788 -1.869
-7.430 -3.308 4.735
O Nb Cr Pb
12 2 2 2
direct
0.648 0.001 0.366 O
0.999 0.352 0.134 O
0.999 0.648 0.366 O
0.001 0.648 0.866 O
0.648 0.648 0.634 O
0.352 0.001 0.134 O
0.001 0.352 0.634 O
0.352 0.352 0.866 O
0.352 0.352 0.366 O
0.648 0.999 0.866 O
0.352 0.999 0.634 O
0.648 0.648 0.134 O
0.333 0.667 0.750 Nb
0.667 0.333 0.250 Nb
0.667 0.333 0.750 Cr
0.333 0.667 0.250 Cr
0.000 0.000 0.000 Pb
0.000 0.000 0.500 Pb
```